(1)
A plane-wave DFT calculation with PBE-GGA was carried out for Ag2PbBr2 after structural relaxation.

Cell lengths 3.827, 3.827, 21.481 Å; angles 90.00, 90.00, 90.00 degrees
Fractional positions:
Ag 0.000 0.500 0.250
Ag 0.000 0.500 0.750
Ag 0.500 0.000 0.250
Ag 0.500 0.000 0.750
Pb 0.000 0.000 0.000
Pb 0.500 0.500 0.500
Br 0.000 0.000 0.418
Br 0.000 0.000 0.582
Br 0.500 0.500 0.082
Br 0.500 0.500 0.918

Output
E_form (uncorrected) in kcal/mol of atoms: -4.16
Calculated density in Mg/m³: 6.2
Space-group type: I4/mmm, No. 139
ΔE to the lowest computed polymorph in meV per atom: 0.0

***

(2)
A plane-wave DFT calculation with PBE-GGA was carried out for Ac2CeBi2Te2 after structural relaxation.

Cell lengths 5.962, 5.962, 16.611 Å; angles 90.00, 90.00, 90.00 degrees
Fractional positions:
Ac 0.000 0.000 0.124
Ac 0.000 0.000 0.876
Ac 0.500 0.500 0.376
Ac 0.500 0.500 0.624
Ce 0.000 0.000 0.500
Ce 0.500 0.500 0.000
Bi 0.000 0.500 0.000
Bi 0.000 0.500 0.500
Bi 0.500 0.000 0.000
Bi 0.500 0.000 0.500
Te 0.000 0.000 0.315
Te 0.000 0.000 0.685
Te 0.500 0.500 0.185
Te 0.500 0.500 0.815

Output
E_form (uncorrected) in kcal/mol of atoms: -19.39
Calculated density in Mg/m³: 7.1
Space-group type: I4/mmm, No. 139

***

(3)
A plane-wave DFT calculation with PBE-GGA was carried out for ZnBiN2O after structural relaxation.

Cell lengths 4.337, 4.337, 4.196 Å; angles 90.00, 90.00, 90.00 degrees
Fractional positions:
Zn 0.000 0.000 0.000
Bi 0.500 0.500 0.500
N 0.000 0.500 0.500
N 0.500 0.000 0.500
O 0.500 0.500 0.000

Output
E_form (uncorrected) in kcal/mol of atoms: 29.97
Calculated density in Mg/m³: 6.7
Space-group type: P4/mmm, No. 123

***

(4)
A plane-wave DFT calculation with PBE-GGA was carried out for Hg6P2Br2Cl after structural relaxation.

Cell lengths 6.807, 7.576, 8.416 Å; angles 69.02, 75.00, 89.49 degrees
Fractional positions:
Hg 0.121 0.165 0.123
Hg 0.319 0.352 0.428
Hg 0.341 0.735 0.386
Hg 0.659 0.265 0.614
Hg 0.681 0.648 0.572
Hg 0.879 0.835 0.877
P 0.160 0.037 0.420
P 0.840 0.963 0.580
Br 0.038 0.329 0.831
Br 0.962 0.671 0.169
Cl 0.500 0.000 0.000

Output
E_form (uncorrected) in kcal/mol of atoms: -3.48
Calculated density in Mg/m³: 6.2
Space-group type: P-1, No. 2